Entry 1:
Computed, not measured: a geometry-optimized Zn2SiIr structure at the GGA-PBE level of DFT.

Properties
The calculation puts the uncorrected energy at -4.3397 eV/atom. The calculation puts the uncorrected formation energy at -12.7 kJ per mole of atoms. Its space group is No. 160. As for the crystal system: trigonal.

a = 8.3914 Å, b = 8.3914 Å, c = 8.3914 Å
α = 19.75°, β = 19.75°, γ = 19.75°
With the nearest neighbours (Å) after each atom.
Sites, in units of the cell vectors:
Ir 0.4938 0.4938 0.4938  3 Si 2.43, 3 Zn 2.72
Si 0.7551 0.7551 0.7551  3 Ir 2.43, 3 Zn 2.68
Zn 0.0033 0.0033 0.0033  3 Si 2.68, 9 Zn 2.75-2.88
Zn 0.2478 0.2478 0.2478  3 Ir 2.72, 9 Zn 2.75-2.88

=====

Entry 2:
Computed, not measured: a geometry-optimized Er3Mn structure at the GGA-PBE level of DFT.

Properties
Its calculated formation energy is 0.868 eV per formula unit. The calculation puts the uncorrected energy at -5.4976 eV/atom. Its space group is No. 221. As for the crystal system: cubic.

a = 4.7072 Å, b = 4.7072 Å, c = 4.7072 Å
α = 90.00°, β = 90.00°, γ = 90.00°
With the nearest neighbours (Å) after each atom.
Sites, in units of the cell vectors:
Mn 0.0000 0.0000 0.0000  12 Er 3.33
Er 0.0000 0.5000 0.5000  4 Mn 3.33, 8 Er 3.33
Er 0.5000 0.0000 0.5000  4 Mn 3.33, 8 Er 3.33
Er 0.5000 0.5000 0.0000  4 Mn 3.33, 8 Er 3.33

=====

Entry 3:
Computed, not measured: a geometry-optimized Cu2SbMo structure at the GGA-PBE level of DFT.

Properties
The calculation puts the uncorrected energy at -5.5338 eV/atom. The calculation puts the uncorrected formation energy at 24.4 kJ per mole of atoms. Its space group is No. 123. As for the crystal system: tetragonal.

a = 3.9455 Å, b = 3.9455 Å, c = 3.9643 Å
α = 90.00°, β = 90.00°, γ = 90.00°
With the nearest neighbours (Å) after each atom.
Sites, in units of the cell vectors:
Cu 0.0000 0.0000 0.0000  4 Cu 2.79, 4 Mo 2.80, 4 Sb 2.80
Cu 0.5000 0.5000 0.0000  4 Cu 2.79, 4 Mo 2.80, 4 Sb 2.80
Mo 0.5000 0.0000 0.5000  4 Sb 2.79, 8 Cu 2.80
Sb 0.0000 0.5000 0.5000  4 Mo 2.79, 8 Cu 2.80

=====

Entry 4:
Computed, not measured: a geometry-optimized Tm6Sb5As structure at the GGA-PBE level of DFT.

Properties
The calculation puts the uncorrected energy at -5.4677 eV/atom. The calculation puts the uncorrected formation energy at -108.7 kJ per mole of atoms. Its space group is No. 12. As for the crystal system: monoclinic.

a = 7.4321 Å, b = 7.4449 Å, c = 7.4365 Å
α = 59.96°, β = 80.38°, γ = 70.50°
With the nearest neighbours (Å) after each atom.
Sites, in units of the cell vectors:
Sb 0.5000 0.1710 0.6580  6 Tm 3.04-3.10
Sb 0.0000 0.3342 0.3315  6 Tm 3.04-3.05
Sb 0.5000 0.5000 0.0000  6 Tm 3.03-3.12
Sb 0.0000 0.6658 0.6685  6 Tm 3.04-3.05
Sb 0.5000 0.8290 0.3420  6 Tm 3.04-3.10
As 0.0000 0.0000 0.0000  6 Tm 2.93-2.95
Tm 0.7579 0.0804 0.3214  1 As 2.93, 5 Sb 3.03-3.10
Tm 0.2421 0.5982 0.3214  1 As 2.93, 5 Sb 3.03-3.10
Tm 0.2469 0.2387 0.0000  1 As 2.95, 5 Sb 3.05-3.12
Tm 0.7531 0.7613 0.0000  1 As 2.95, 5 Sb 3.05-3.12
Tm 0.7579 0.4018 0.6786  1 As 2.93, 5 Sb 3.03-3.10
Tm 0.2421 0.9196 0.6786  1 As 2.93, 5 Sb 3.03-3.10

=====

Entry 5:
Computed, not measured: a geometry-optimized BaGeBr2F structure at the GGA-PBE level of DFT.

Properties
The calculation puts the uncorrected energy at -2.8455 eV/atom. The calculation puts the uncorrected formation energy at -47.7 kJ per mole of atoms. Its space group is No. 123. As for the crystal system: tetragonal.

a = 6.0751 Å, b = 8.2121 Å, c = 6.0751 Å
α = 90.00°, β = 90.00°, γ = 90.00°
With the nearest neighbours (Å) after each atom.
Sites, in units of the cell vectors:
Ge 0.0000 0.5000 0.0000  2 Ba 4.11, 4 F 4.30
Ba 0.0000 0.0000 0.0000  4 Br 3.04
Br 0.0000 0.0000 0.5000  2 Ba 3.04
Br 0.5000 0.0000 0.0000  2 Ba 3.04
F 0.5000 0.5000 0.5000  4 Ge 4.30

=====

Entry 6:
Computed, not measured: a geometry-optimized SmGdPu2 structure at the GGA-PBE level of DFT.

Properties
Its calculated formation energy is 0.807 eV per formula unit. The calculation puts the uncorrected energy at -11.6642 eV/atom. Its space group is No. 123. As for the crystal system: tetragonal.

a = 5.0449 Å, b = 4.8780 Å, c = 4.8780 Å
α = 90.00°, β = 90.00°, γ = 90.00°
With the nearest neighbours (Å) after each atom.
Sites, in units of the cell vectors:
Gd 0.5000 0.0000 0.0000  4 Sm 3.45, 8 Pu 3.51
Sm 0.5000 0.5000 0.5000  4 Gd 3.45, 8 Pu 3.51
Pu 0.0000 0.0000 0.5000  4 Pu 3.45, 4 Gd 3.51, 4 Sm 3.51
Pu 0.0000 0.5000 0.0000  4 Pu 3.45, 4 Gd 3.51, 4 Sm 3.51

=====

Entry 7:
Computed, not measured: a geometry-optimized Cu2Ni3Rh2 structure at the GGA-PBE level of DFT.

Properties
The offset from the most stable computed form comes out at 0.000 eV per atom. Its calculated formation energy is 0.699 eV per formula unit. The calculation puts the uncorrected energy at -5.6487 eV/atom. Its space group is No. 2. As for the crystal system: triclinic.

a = 2.5917 Å, b = 6.0970 Å, c = 6.3627 Å
α = 117.55°, β = 90.04°, γ = 102.27°
With the nearest neighbours (Å) after each atom.
Sites, in units of the cell vectors:
Cu 0.9215 0.8500 0.5722  3 Cu 2.36-2.59, 4 Ni 2.41-2.47
Cu 0.0785 0.1500 0.4278  3 Cu 2.36-2.59, 4 Ni 2.41-2.47
Ni 0.0000 0.0000 0.0000  2 Cu 2.43, 6 Ni 2.57-2.59, 4 Rh 2.69
Ni 0.7043 0.4045 0.2849  3 Cu 2.41-2.47, 3 Rh 2.55-2.67, 4 Ni 2.57-2.59
Ni 0.2957 0.5955 0.7151  3 Cu 2.41-2.47, 3 Rh 2.55-2.67, 4 Ni 2.57-2.59
Rh 0.6440 0.2882 0.8445  5 Ni 2.55-2.69, 4 Rh 2.59-2.69, 4 Cu 2.68-2.71
Rh 0.3560 0.7118 0.1555  5 Ni 2.55-2.69, 4 Rh 2.59-2.69, 4 Cu 2.68-2.71

=====

Entry 8:
Computed, not measured: a geometry-optimized U4AlRh12 structure at the GGA-PBE level of DFT.

Properties
Its calculated formation energy is -9.955 eV per formula unit. The calculation puts the uncorrected energy at -8.6510 eV/atom. Its space group is No. 229. As for the crystal system: cubic.

a = 7.1355 Å, b = 7.1355 Å, c = 7.1355 Å
α = 109.47°, β = 109.47°, γ = 109.47°
With the nearest neighbours (Å) after each atom.
Sites, in units of the cell vectors:
U 0.0000 0.0000 0.5000  12 Rh 2.91-2.93
U 0.5000 0.0000 0.0000  12 Rh 2.91-2.93
U 0.5000 0.5000 0.5000  12 Rh 2.91-2.93
U 0.0000 0.5000 0.0000  12 Rh 2.91-2.93
Al 0.0000 0.0000 0.0000  6 Rh 2.33
Rh 0.0000 0.2833 0.2833  1 Al 2.33
Rh 0.0000 0.7167 0.7167  1 Al 2.33
Rh 0.7167 0.7167 0.0000  1 Al 2.33
Rh 0.2833 0.2833 0.0000  1 Al 2.33
Rh 0.2833 0.0000 0.2833  1 Al 2.33
Rh 0.7167 0.0000 0.7167  1 Al 2.33
Rh 0.5000 0.2500 0.7500  8 Rh 2.73-2.91, 4 U 2.91
Rh 0.5000 0.7500 0.2500  8 Rh 2.73-2.91, 4 U 2.91
Rh 0.7500 0.2500 0.5000  8 Rh 2.73-2.91, 4 U 2.91
Rh 0.2500 0.7500 0.5000  8 Rh 2.73-2.91, 4 U 2.91
Rh 0.7500 0.5000 0.2500  8 Rh 2.73-2.91, 4 U 2.91
Rh 0.2500 0.5000 0.7500  8 Rh 2.73-2.91, 4 U 2.91